No. 1
# Nd2ZnGe3Rh4 (PBE, relaxed)
data_Nd2ZnGe3Rh4
_chemical_formula_sum 'Nd2 Zn1 Ge3 Rh4'
_symmetry_space_group_name_H-M 'P -4 m 2'
_symmetry_Int_Tables_number 115
_symmetry_space_group_name_Hall 'P -4 -2'
_cell_length_a 4.2483
_cell_length_b 4.2483
_cell_length_c 10.2179
_cell_angle_alpha 90.00
_cell_angle_beta 90.00
_cell_angle_gamma 90.00
loop_
_atom_site_label
_atom_site_type_symbol
_atom_site_fract_x
_atom_site_fract_y
_atom_site_fract_z
Nd1 Nd 0.0000 0.5000 0.2487
Zn1 Zn 0.5000 0.5000 0.0000
Ge1 Ge 0.0000 0.0000 0.0000
Ge2 Ge 0.0000 0.5000 0.6292
Rh1 Rh 0.0000 0.0000 0.5000
Rh2 Rh 0.0000 0.5000 0.8686
Rh3 Rh 0.5000 0.5000 0.5000
# Raw total energy = -6.229 eV per atom
# Energy of formation from the pure elements = -0.82 eV/atom


No. 2
# WCl (PBE, relaxed)
data_WCl
_chemical_formula_sum 'W2 Cl2'
_symmetry_space_group_name_H-M 'P 63/m m c'
_symmetry_Int_Tables_number 194
_symmetry_space_group_name_Hall '-P 6c 2c'
_cell_length_a 4.2686
_cell_length_b 4.2686
_cell_length_c 4.8885
_cell_angle_alpha 90.00
_cell_angle_beta 90.00
_cell_angle_gamma 120.00
loop_
_atom_site_label
_atom_site_type_symbol
_atom_site_fract_x
_atom_site_fract_y
_atom_site_fract_z
W1 W 0.0000 0.0000 0.0000
Cl1 Cl 0.3333 0.6667 0.2500
# Raw total energy = -5.813 eV per atom
# Raw formation energy = 1587 meV per atom
# ΔE to the lowest computed polymorph = 1830 meV per atom


What did the first record say?
# Nd2ZnGe3Rh4 (PBE, relaxed)
data_Nd2ZnGe3Rh4
_chemical_formula_sum 'Nd2 Zn1 Ge3 Rh4'
_symmetry_space_group_name_H-M 'P -4 m 2'
_symmetry_Int_Tables_number 115
_symmetry_space_group_name_Hall 'P -4 -2'
_cell_length_a 4.2483
_cell_length_b 4.2483
_cell_length_c 10.2179
_cell_angle_alpha 90.00
_cell_angle_beta 90.00
_cell_angle_gamma 90.00
loop_
_atom_site_label
_atom_site_type_symbol
_atom_site_fract_x
_atom_site_fract_y
_atom_site_fract_z
Nd1 Nd 0.0000 0.5000 0.2487
Zn1 Zn 0.5000 0.5000 0.0000
Ge1 Ge 0.0000 0.0000 0.0000
Ge2 Ge 0.0000 0.5000 0.6292
Rh1 Rh 0.0000 0.0000 0.5000
Rh2 Rh 0.0000 0.5000 0.8686
Rh3 Rh 0.5000 0.5000 0.5000
# Raw total energy = -6.229 eV per atom
# Energy of formation from the pure elements = -0.82 eV/atom